Density functional theory data (GGA-PBE) for a relaxed structure of TaSeI.

Lattice parameters (Å, degrees): 6.381 6.396 5.970 88.51 89.72 88.88
Atoms (fractional coordinates):
I 0.249 0.250 0.995
I 0.751 0.750 0.005
Ta 0.520 0.020 0.255
Ta 0.480 0.980 0.745
Se 0.284 0.783 0.464
Se 0.716 0.217 0.536

Values from the calculation:
For the uncorrected formation energy, the calculation gives -0.17 eV per atom. The space group is P-1, No. 2.



Density functional theory data (GGA-PBE) for a relaxed structure of TaSeI.

Lattice parameters (Å, degrees): 3.461 4.934 10.503 88.41 86.80 69.50
Atoms (fractional coordinates):
Ta 0.476 0.650 0.592
Ta 0.783 0.109 0.376
I 0.265 0.222 0.151
I 0.893 0.746 0.801
Se 0.496 0.691 0.349
Se 0.191 0.226 0.573

Values from the calculation:
For the uncorrected formation energy, the calculation gives -0.41 eV per atom. The space group is P1, No. 1.



Density functional theory data (GGA-PBE) for a relaxed structure of Ta3SeI7.

Lattice parameters (Å, degrees): 7.638 7.638 14.659 90.00 90.00 120.00
Atoms (fractional coordinates):
I 0.004 0.502 0.355
I 0.168 0.336 0.122
I 0.502 0.004 0.855
I 0.667 0.333 0.153
I 0.832 0.168 0.622
I 0.664 0.832 0.122
I 0.336 0.168 0.622
I 0.333 0.667 0.653
I 0.168 0.832 0.122
I 0.996 0.498 0.855
I 0.832 0.664 0.622
I 0.498 0.996 0.355
I 0.498 0.502 0.355
I 0.502 0.498 0.855
Ta 0.260 0.130 0.250
Ta 0.870 0.740 0.250
Ta 0.130 0.260 0.750
Ta 0.870 0.130 0.250
Ta 0.130 0.870 0.750
Ta 0.740 0.870 0.750
Se 0.000 0.000 0.879
Se 0.000 0.000 0.379

Values from the calculation:
For the uncorrected formation energy, the calculation gives -0.49 eV per atom. The space group is P6_3mc, No. 186.



Density functional theory data (GGA-PBE) for a relaxed structure of Ta2SeI.

Lattice parameters (Å, degrees): 4.718 4.718 4.718 60.00 60.00 60.00
Atoms (fractional coordinates):
Ta 0.750 0.750 0.750
Ta 0.250 0.250 0.250
I 0.500 0.500 0.500
Se 0.000 0.000 0.000

Values from the calculation:
For the uncorrected formation energy, the calculation gives 0.51 eV per atom. The space group is Fm-3m, No. 225.



Density functional theory data (GGA-PBE) for a relaxed structure of TaSeI.

Lattice parameters (Å, degrees): 6.491 3.600 15.691 90.00 113.51 90.00
Atoms (fractional coordinates):
Se 0.212 0.000 0.380
Se 0.212 0.500 0.880
Se 0.788 0.000 0.620
Se 0.788 0.500 0.120
I 0.686 0.500 0.359
I 0.314 0.000 0.141
I 0.686 0.000 0.859
I 0.314 0.500 0.641
Ta 0.818 0.500 0.744
Ta 0.182 0.000 0.756
Ta 0.818 0.000 0.244
Ta 0.182 0.500 0.256

Values from the calculation:
For the uncorrected formation energy, the calculation gives -0.60 eV per atom. The space group is C2/m, No. 12.



Density functional theory data (GGA-PBE) for a relaxed structure of Ta2Se4I.

Lattice parameters (Å, degrees): 7.428 7.428 8.813 123.28 110.36 86.34
Atoms (fractional coordinates):
Se 0.410 0.143 0.767
Se 0.846 0.050 0.587
Se 0.827 0.089 0.179
Se 0.462 0.259 0.413
Se 0.398 0.627 0.846
Se 0.376 0.643 0.233
Se 0.910 0.648 0.821
Se 0.781 0.552 0.154
Ta 0.536 0.274 0.129
Ta 0.589 0.918 0.219
Ta 0.699 0.370 0.781
Ta 0.145 0.408 0.871
I 0.139 0.139 0.000
I 0.130 0.630 0.500

Values from the calculation:
For the uncorrected formation energy, the calculation gives -0.39 eV per atom. The space group is C2, No. 5.



Density functional theory data (GGA-PBE) for a relaxed structure of TaSeI.

Lattice parameters (Å, degrees): 6.363 3.554 7.810 90.00 109.74 90.00
Atoms (fractional coordinates):
Se 0.288 0.500 0.752
Se 0.764 0.000 0.673
Ta 0.959 0.500 0.920
Ta 0.590 0.000 0.930
I 0.813 0.500 0.222
I 0.288 0.000 0.156

Values from the calculation:
For the uncorrected formation energy, the calculation gives -0.52 eV per atom. The space group is Pm, No. 6.



Density functional theory data (GGA-PBE) for a relaxed structure of TaSe3I.

Lattice parameters (Å, degrees): 5.077 5.077 5.077 90.00 90.00 90.00
Atoms (fractional coordinates):
Se 0.000 0.500 0.000
Se 0.000 0.000 0.500
Se 0.500 0.000 0.000
I 0.500 0.500 0.500
Ta 0.000 0.000 0.000

Values from the calculation:
For the uncorrected formation energy, the calculation gives -0.04 eV per atom. The space group is Pm-3m, No. 221.



Density functional theory data (GGA-PBE) for a relaxed structure of TaSeI.

Lattice parameters (Å, degrees): 3.548 3.548 21.308 90.00 90.00 120.00
Atoms (fractional coordinates):
Ta 0.333 0.667 0.878
Ta 0.667 0.333 0.545
Ta 0.000 0.000 0.211
I 0.000 0.000 0.969
I 0.667 0.333 0.302
I 0.333 0.667 0.636
Se 0.333 0.667 0.468
Se 0.000 0.000 0.801
Se 0.667 0.333 0.135

Values from the calculation:
For the uncorrected formation energy, the calculation gives -0.52 eV per atom. The space group is R3m, No. 160.



Density functional theory data (GGA-PBE) for a relaxed structure of TaSeI2.

Lattice parameters (Å, degrees): 5.078 5.078 5.078 60.00 60.00 60.00
Atoms (fractional coordinates):
Ta 0.500 0.500 0.500
Se 0.000 0.000 0.000
I 0.750 0.750 0.750
I 0.250 0.250 0.250

Values from the calculation:
For the uncorrected formation energy, the calculation gives 0.74 eV per atom. The space group is Fm-3m, No. 225.



Density functional theory data (GGA-PBE) for a relaxed structure of TaSe3I.

Lattice parameters (Å, degrees): 5.295 5.295 5.295 90.00 90.00 90.00
Atoms (fractional coordinates):
Se 0.000 0.500 0.000
Se 0.000 0.000 0.500
Se 0.500 0.000 0.000
I 0.000 0.000 0.000
Ta 0.500 0.500 0.500

Values from the calculation:
For the uncorrected formation energy, the calculation gives 1.53 eV per atom. The space group is Pm-3m, No. 221.



Density functional theory data (GGA-PBE) for a relaxed structure of TaSeI.

Lattice parameters (Å, degrees): 3.597 6.489 7.629 107.62 90.43 90.00
Atoms (fractional coordinates):
I 0.746 0.004 0.285
I 0.254 0.996 0.715
Se 0.754 0.505 0.758
Se 0.246 0.495 0.242
Ta 0.750 0.672 0.488
Ta 0.250 0.328 0.512

Values from the calculation:
For the uncorrected formation energy, the calculation gives -0.60 eV per atom. The space group is P-1, No. 2.



Density functional theory data (GGA-PBE) for a relaxed structure of TaSeI2.

Lattice parameters (Å, degrees): 3.487 7.350 7.128 121.72 105.38 87.72
Atoms (fractional coordinates):
I 0.025 0.191 0.324
I 0.701 0.866 0.676
Ta 0.377 0.867 0.000
Se 0.897 0.611 0.000

Values from the calculation:
For the uncorrected formation energy, the calculation gives -0.34 eV per atom. The space group is Cm, No. 8.



Density functional theory data (GGA-PBE) for a relaxed structure of TaTe2SeI.

Lattice parameters (Å, degrees): 5.360 5.360 5.579 90.00 90.00 90.00
Atoms (fractional coordinates):
Se 0.000 0.000 0.000
Te 0.000 0.500 0.000
Te 0.500 0.000 0.000
I 0.000 0.000 0.500
Ta 0.500 0.500 0.500

Values from the calculation:
For the uncorrected formation energy, the calculation gives 1.25 eV per atom. The space group is P4/mmm, No. 123.



Density functional theory data (GGA-PBE) for a relaxed structure of TaTe2SeI.

Lattice parameters (Å, degrees): 5.393 5.393 5.424 90.00 90.00 90.00
Atoms (fractional coordinates):
Ta 0.000 0.000 0.000
Te 0.000 0.500 0.000
Te 0.500 0.000 0.000
Se 0.500 0.500 0.500
I 0.000 0.000 0.500

Values from the calculation:
For the uncorrected formation energy, the calculation gives 0.42 eV per atom. The space group is P4/mmm, No. 123.



Density functional theory data (GGA-PBE) for a relaxed structure of Th2TaSe2I4.

Lattice parameters (Å, degrees): 3.792 3.792 24.458 90.00 90.00 120.00
Atoms (fractional coordinates):
Th 0.000 0.000 0.995
Th 0.667 0.333 0.636
Se 0.667 0.333 0.263
Se 0.667 0.333 0.393
I 0.667 0.333 0.899
I 0.000 0.000 0.732
I 0.667 0.333 0.091
I 0.000 0.000 0.540
Ta 0.000 0.000 0.328

Values from the calculation:
For the uncorrected formation energy, the calculation gives -0.88 eV per atom. The space group is P3m1, No. 156.



Density functional theory data (GGA-PBE) for a relaxed structure of Ta2VSeI.

Lattice parameters (Å, degrees): 5.053 5.053 4.791 90.00 90.00 90.00
Atoms (fractional coordinates):
Ta 0.000 0.500 0.000
Ta 0.500 0.000 0.000
V 0.000 0.000 0.500
Se 0.500 0.500 0.500
I 0.000 0.000 0.000

Values from the calculation:
For the uncorrected formation energy, the calculation gives 1.97 eV per atom. The space group is P4/mmm, No. 123.



Density functional theory data (GGA-PBE) for a relaxed structure of TbSeI.

Lattice parameters (Å, degrees): 4.266 4.266 7.220 90.00 90.00 120.00
Atoms (fractional coordinates):
Tb 0.667 0.333 0.367
I 0.000 0.000 0.084
Se 0.333 0.667 0.549

Values from the calculation:
For the uncorrected formation energy, the calculation gives -1.64 eV per atom. The space group is P3m1, No. 156.



Density functional theory data (GGA-PBE) for a relaxed structure of Tb6Se8I.

Lattice parameters (Å, degrees): 4.186 11.314 11.314 120.00 90.00 90.00
Atoms (fractional coordinates):
Tb 0.253 0.861 0.530
Tb 0.253 0.669 0.139
Tb 0.747 0.530 0.669
Tb 0.253 0.470 0.331
Tb 0.747 0.139 0.470
Tb 0.747 0.331 0.861
Se 0.246 0.952 0.333
Se 0.754 0.333 0.381
Se 0.754 0.048 0.667
Se 0.246 0.667 0.619
Se 0.246 0.381 0.048
Se 0.248 0.333 0.667
Se 0.754 0.619 0.952
Se 0.752 0.667 0.333
I 0.500 0.000 0.000

Values from the calculation:
For the uncorrected formation energy, the calculation gives -1.70 eV per atom. The space group is P-3, No. 147.



Density functional theory data (GGA-PBE) for a relaxed structure of Tb3Se2I2.

Lattice parameters (Å, degrees): 4.074 7.125 7.671 98.50 90.00 106.62
Atoms (fractional coordinates):
Tb 0.751 0.500 0.193
Tb 0.000 0.000 0.000
Tb 0.249 0.500 0.807
I 0.873 0.747 0.615
I 0.127 0.253 0.385
Se 0.386 0.771 0.137
Se 0.614 0.229 0.863

Values from the calculation:
For the uncorrected formation energy, the calculation gives -1.50 eV per atom. The space group is P-1, No. 2.



Density functional theory data (GGA-PBE) for a relaxed structure of Tb2SeI.

Lattice parameters (Å, degrees): 4.019 7.195 9.145 90.04 89.50 89.99
Atoms (fractional coordinates):
Se 0.205 0.945 0.202
Se 0.697 0.445 0.014
Tb 0.198 0.191 0.946
Tb 0.702 0.498 0.691
Tb 0.704 0.691 0.270
Tb 0.200 0.999 0.525
I 0.199 0.798 0.811
I 0.703 0.299 0.405

Values from the calculation:
For the uncorrected formation energy, the calculation gives -1.00 eV per atom. The space group is P1, No. 1.



Density functional theory data (GGA-PBE) for a relaxed structure of Tb2SeI3.

Lattice parameters (Å, degrees): 4.228 11.012 11.161 84.33 79.08 78.93
Atoms (fractional coordinates):
I 0.220 0.177 0.383
I 0.674 0.675 0.977
I 0.780 0.823 0.617
I 0.326 0.325 0.023
I 0.954 0.816 0.276
I 0.046 0.184 0.724
Se 0.399 0.523 0.680
Se 0.601 0.477 0.320
Tb 0.578 0.309 0.534
Tb 0.868 0.436 0.829
Tb 0.422 0.691 0.466
Tb 0.132 0.564 0.171

Values from the calculation:
For the uncorrected formation energy, the calculation gives -1.41 eV per atom. The space group is C2/m, No. 12.



Density functional theory data (GGA-PBE) for a relaxed structure of Tb4Se4I3.

Lattice parameters (Å, degrees): 4.301 8.453 9.659 115.95 102.86 90.00
Atoms (fractional coordinates):
Tb 0.500 0.215 0.000
Tb 0.229 0.729 0.459
Tb 0.500 0.785 0.000
Tb 0.771 0.271 0.541
Se 0.668 0.465 0.336
Se 0.668 0.871 0.336
Se 0.332 0.129 0.664
Se 0.332 0.535 0.664
I 0.902 0.902 0.803
I 0.098 0.098 0.197
I 0.000 0.500 0.000

Values from the calculation:
For the uncorrected formation energy, the calculation gives -1.45 eV per atom. The space group is Immm, No. 71.



Density functional theory data (GGA-PBE) for a relaxed structure of Tb2SeI.

Lattice parameters (Å, degrees): 3.948 3.948 8.374 76.37 76.37 60.00
Atoms (fractional coordinates):
I 0.499 0.499 0.502
Se 0.667 0.667 0.000
Tb 0.263 0.263 0.210
Tb 0.071 0.071 0.788

Values from the calculation:
For the uncorrected formation energy, the calculation gives -1.23 eV per atom. The space group is R3m, No. 160.



Density functional theory data (GGA-PBE) for a relaxed structure of Tb3SeI7.

Lattice parameters (Å, degrees): 7.678 8.718 8.718 120.00 90.00 90.00
Atoms (fractional coordinates):
Tb 0.773 0.492 0.983
Tb 0.773 0.492 0.508
Tb 0.773 0.017 0.508
I 0.554 0.830 0.170
I 0.013 0.168 0.832
I 0.011 0.667 0.333
I 0.554 0.830 0.661
I 0.013 0.663 0.832
I 0.554 0.339 0.170
I 0.013 0.168 0.337
Se 0.586 0.333 0.667

Values from the calculation:
For the uncorrected formation energy, the calculation gives -1.46 eV per atom. The space group is P3m1, No. 156.